# 1
A geometry-optimized MgScSn2 structure. Source: the Alexandria database, functional PBE.

Cell and atoms, written as POSCAR:
```
MgScSn2
1.0
7.951 0.000 0.000
0.000 7.951 0.000
3.975 3.975 3.173
Sn Mg Sc
4 2 2
direct
0.613 0.125 0.250
0.137 0.625 0.250
0.875 0.863 0.750
0.375 0.387 0.750
0.250 0.750 0.500
0.500 0.500 0.000
0.000 0.000 0.000
0.750 0.250 0.500
```

## Properties
**Size of the total moment**: 0.0 μB/f.u.
**DFT formation energy**: -0.115 eV per atom
**E**: -4.098 eV per atom
**D(E_F)**: 4.9 states/eV/cell


# 2
A geometry-optimized Co3Ir structure. Source: the Alexandria database, functional PBE.

Cell and atoms, written as POSCAR:
```
Co3Ir
1.0
5.522 0.000 0.004
0.000 4.169 0.000
-6.963 0.000 2.123
Ir Co
1 3
direct
0.250 0.500 0.000
0.056 0.000 0.067
0.750 0.500 0.000
0.444 0.000 0.933
```

## Properties
**Size of the total moment**: 5.8 μB/f.u.
**DFT formation energy**: 0.164 eV per atom
**E**: -7.381 eV per atom
**D(E_F)**: 5.1 states/eV/cell